Entry 1:
Crystalline ThGa2Rh at its relaxed geometry, computed with PBE.

The formation enthalpy at 0 K comes out at -0.709 eV/atom.

a = 5.3985 Å, b = 6.9946 Å, c = 8.3489 Å
α = 90.00°, β = 90.00°, γ = 90.00°
Last column: nearest neighbours and their distance in Å.
Fractional coordinates of all 16 atoms:
Ga: 0.1237 0.5550 0.8108  3 Rh 2.65-2.70, 1 Ga 2.73
Ga: 0.8763 0.4450 0.1892  3 Rh 2.65-2.70, 1 Ga 2.73
Ga: 0.3763 0.9450 0.3108  3 Rh 2.65-2.70, 1 Ga 2.73
Ga: 0.3763 0.5550 0.3108  3 Rh 2.65-2.70, 1 Ga 2.73
Ga: 0.1237 0.9450 0.8108  3 Rh 2.65-2.70, 1 Ga 2.73
Ga: 0.8763 0.0550 0.1892  3 Rh 2.65-2.70, 1 Ga 2.73
Ga: 0.6237 0.4450 0.6892  3 Rh 2.65-2.70, 1 Ga 2.73
Ga: 0.6237 0.0550 0.6892  3 Rh 2.65-2.70, 1 Ga 2.73
Rh: 0.1350 0.7500 0.0829  6 Ga 2.65-2.70, 2 Th 2.85-2.93
Rh: 0.3650 0.7500 0.5829  6 Ga 2.65-2.70, 2 Th 2.85-2.93
Rh: 0.8650 0.2500 0.9171  6 Ga 2.65-2.70, 2 Th 2.85-2.93
Rh: 0.6350 0.2500 0.4171  6 Ga 2.65-2.70, 2 Th 2.85-2.93
Th: 0.3723 0.2500 0.0404  2 Rh 2.85-2.93, 4 Ga 3.11-3.17
Th: 0.1277 0.2500 0.5404  2 Rh 2.85-2.93, 4 Ga 3.11-3.17
Th: 0.6277 0.7500 0.9596  2 Rh 2.85-2.93, 4 Ga 3.11-3.17
Th: 0.8723 0.7500 0.4596  2 Rh 2.85-2.93, 4 Ga 3.11-3.17


Entry 2:
Crystalline Tl2Pd3Au at its relaxed geometry, computed with PBE.

The formation enthalpy at 0 K comes out at -0.079 eV/atom.

a = 5.7437 Å, b = 6.2348 Å, c = 7.2103 Å
α = 102.66°, β = 113.47°, γ = 90.00°
Last column: nearest neighbours and their distance in Å.
Fractional coordinates of all 12 atoms:
Tl: 0.3332 0.9179 0.6733  6 Pd 2.81-2.94, 2 Au 3.05-3.07, 2 Tl 3.12
Tl: 0.3402 0.4179 0.6733  6 Pd 2.81-2.94, 2 Au 3.05-3.07, 2 Tl 3.12
Tl: 0.6668 0.0821 0.3267  6 Pd 2.81-2.94, 2 Au 3.05-3.07, 2 Tl 3.12
Tl: 0.6598 0.5821 0.3267  6 Pd 2.81-2.94, 2 Au 3.05-3.07, 2 Tl 3.12
Au: 0.7776 0.7500 0.0000  8 Pd 2.82-3.13, 4 Tl 3.05-3.07
Au: 0.2224 0.2500 0.0000  8 Pd 2.82-3.13, 4 Tl 3.05-3.07
Pd: 0.8420 0.9243 0.6918  4 Tl 2.81-2.88, 2 Au 2.82-2.83, 4 Pd 2.94-3.12
Pd: 0.1580 0.0757 0.3082  4 Tl 2.81-2.88, 2 Au 2.82-2.83, 4 Pd 2.94-3.12
Pd: 0.8499 0.4243 0.6918  4 Tl 2.81-2.88, 2 Au 2.82-2.83, 4 Pd 2.94-3.12
Pd: 0.7311 0.2500 0.0000  4 Au 2.82-3.13, 4 Tl 2.92-2.94, 4 Pd 2.94-2.98
Pd: 0.2689 0.7500 0.0000  4 Au 2.82-3.13, 4 Tl 2.92-2.94, 4 Pd 2.94-2.98
Pd: 0.1501 0.5757 0.3082  4 Tl 2.81-2.88, 2 Au 2.82-2.83, 4 Pd 2.94-3.12


Entry 3:
Crystalline TcSnO2 at its relaxed geometry, computed with PBE.

The uncorrected formation energy comes out at -0.823 eV/atom.

a = 7.3482 Å, b = 7.3482 Å, c = 7.3482 Å
α = 23.09°, β = 23.09°, γ = 23.09°
Last column: nearest neighbours and their distance in Å.
Fractional coordinates of all 4 atoms:
O: 0.8924 0.8924 0.8924  3 Tc 2.12, 1 Sn 2.31
O: 0.1076 0.1076 0.1076  3 Tc 2.12, 1 Sn 2.31
Sn: 0.0000 0.0000 0.0000  2 O 2.31
Tc: 0.5000 0.5000 0.5000  6 O 2.12


Entry 4:
Crystalline CaOsRu at its relaxed geometry, computed with PBE.

The formation enthalpy at 0 K comes out at 0.166 eV/atom.

a = 4.0984 Å, b = 5.3337 Å, c = 5.8228 Å
α = 77.54°, β = 90.00°, γ = 90.00°
Last column: nearest neighbours and their distance in Å.
Fractional coordinates of all 6 atoms:
Os: 0.0213 0.5526 0.7996  2 Os 2.54, 4 Ru 2.57-2.67
Os: 0.5213 0.3294 0.6804  2 Os 2.54, 4 Ru 2.57-2.67
Ru: 0.0214 0.0462 0.8232  4 Os 2.57-2.67, 2 Ru 2.62
Ru: 0.5214 0.8358 0.6567  4 Os 2.57-2.67, 2 Ru 2.62
Ca: 0.5212 0.7016 0.1714  4 Ru 2.93-3.18, 3 Os 3.19-3.20
Ca: 0.0213 0.1803 0.3086  4 Ru 2.93-3.17, 3 Os 3.19-3.20


no.,theoretical density (g/cm3)
1,9.995
2,13.358
3,7.712
4,8.855